Record 1
Computed, not measured: a PBEsol-optimized structure of CsCrW3 at the meta-GGA SCAN level of DFT.

Computed properties:
Space-group type = Pm-3m
Total moment = 0.000 Bohr magnetons per cell
Crystal system = cubic
Mass density = 12117 kg/m3
Energy = -50.63 eV per atom

abc: 4.656 4.656 4.656
angles: 90.00 90.00 90.00
Atoms (fractional coordinates):
W (0.000, 0.500, 0.000)
W (0.000, 0.000, 0.500)
W (0.500, 0.000, 0.000)
Cs (0.500, 0.500, 0.500)
Cr (0.000, 0.000, 0.000)


Record 2
Computed, not measured: a PBEsol-optimized structure of NdGeRh at the meta-GGA SCAN level of DFT.

Computed properties:
Space-group type = Pnma
Total moment = 0.000 Bohr magnetons per cell
Crystal system = orthorhombic
Mass density = 9237 kg/m3
Energy = -33.19 eV per atom

abc: 4.429 7.263 7.149
angles: 90.00 90.00 90.00
Atoms (fractional coordinates):
Nd (0.250, 0.983, 0.179)
Nd (0.750, 0.017, 0.821)
Nd (0.750, 0.517, 0.679)
Nd (0.250, 0.483, 0.321)
Ge (0.250, 0.801, 0.609)
Ge (0.750, 0.199, 0.391)
Ge (0.750, 0.699, 0.109)
Ge (0.250, 0.301, 0.891)
Rh (0.250, 0.643, 0.930)
Rh (0.250, 0.143, 0.570)
Rh (0.750, 0.357, 0.070)
Rh (0.750, 0.857, 0.430)


Record 3
Computed, not measured: a PBEsol-optimized structure of AlCr2Fe at the meta-GGA SCAN level of DFT.

Computed properties:
Space-group type = F-43m
Total moment = 1.000 Bohr magnetons per cell
Crystal system = cubic
Mass density = 6788 kg/m3
Energy = -15.80 eV per atom

abc: 4.013 4.013 4.013
angles: 60.00 60.00 60.00
Each line ends with the local moment (μB).
Atoms (fractional coordinates):
Cr (0.000, 0.000, 0.000)  -1.85
Cr (0.750, 0.750, 0.750)  2.18
Fe (0.250, 0.250, 0.250)  0.61
Al (0.500, 0.500, 0.500)  0.00


Record 4
Computed, not measured: a PBEsol-optimized structure of Ca3Fe2Cl2O5 at the meta-GGA SCAN level of DFT.

Computed properties:
Space-group type = I4/mmm
Total moment = 8.536 Bohr magnetons per cell
Crystal system = tetragonal
ΔE_f (raw) = -28.93 eV/f.u.
Mass density = 3908 kg/m3
Energy = -11.77 eV per atom

abc: 3.792 3.792 11.624
angles: 99.39 99.39 90.00
Each line ends with the local moment (μB).
Atoms (fractional coordinates):
Fe (0.919, 0.919, 0.837)  3.67
Fe (0.081, 0.081, 0.163)  3.67
Ca (0.348, 0.348, 0.697)  0.00
Ca (0.500, 0.500, 0.000)  -0.01
Ca (0.652, 0.652, 0.303)  0.00
O (0.000, 0.000, 0.000)  0.33
O (0.089, 0.589, 0.177)  0.15
O (0.411, 0.911, 0.823)  0.15
O (0.911, 0.411, 0.823)  0.15
O (0.589, 0.089, 0.177)  0.15
Cl (0.798, 0.798, 0.595)  0.03
Cl (0.202, 0.202, 0.405)  0.03


Record 5
Computed, not measured: a PBEsol-optimized structure of PbSeBr2 at the meta-GGA SCAN level of DFT.

Computed properties:
Space-group type = Fm-3m
Total moment = 2.000 Bohr magnetons per cell
Crystal system = cubic
ΔE_f (raw) = -0.23 eV/f.u.
Mass density = 7141 kg/m3
Energy = -33.75 eV per atom

abc: 5.274 5.274 5.274
angles: 60.00 60.00 60.00
Each line ends with the local moment (μB).
Atoms (fractional coordinates):
Pb (0.500, 0.500, 0.500)  -0.02
Se (0.000, 0.000, 0.000)  0.99
Br (0.750, 0.750, 0.750)  0.20
Br (0.250, 0.250, 0.250)  0.20


Record 6
Computed, not measured: a PBEsol-optimized structure of Ag2Bi2Br at the meta-GGA SCAN level of DFT.

Computed properties:
Space-group type = I4/mmm
Total moment = 0.000 Bohr magnetons per cell
Crystal system = tetragonal
ΔE_f (raw) = 0.64 eV/f.u.
Mass density = 9462 kg/m3
Energy = -47.74 eV per atom

abc: 3.822 3.822 8.990
angles: 102.27 102.27 90.00
Atoms (fractional coordinates):
Ag (0.250, 0.750, 0.500)
Ag (0.750, 0.250, 0.500)
Br (0.000, 0.000, 0.000)
Bi (0.616, 0.616, 0.232)
Bi (0.384, 0.384, 0.768)


Record 7
Computed, not measured: a PBEsol-optimized structure of Ca3Ta2O8 at the meta-GGA SCAN level of DFT.

Computed properties:
Space-group type = Cmce
Total moment = 0.000 Bohr magnetons per cell
Crystal system = orthorhombic
ΔE_f (raw) = -42.11 eV/f.u.
Mass density = 5172 kg/m3
Energy = -19.55 eV per atom

abc: 6.783 7.137 9.198
angles: 90.00 90.00 118.37
Atoms (fractional coordinates):
Ta (0.887, 0.773, 0.382)
Ta (0.387, 0.773, 0.118)
Ta (0.113, 0.227, 0.618)
Ta (0.613, 0.227, 0.882)
O (0.996, 0.992, 0.749)
O (0.108, 0.773, 0.499)
O (0.336, 0.227, 0.501)
O (0.608, 0.773, 0.001)
O (0.760, 0.520, 0.278)
O (0.740, 0.480, 0.778)
O (0.892, 0.227, 0.501)
O (0.664, 0.773, 0.499)
O (0.260, 0.520, 0.222)
O (0.836, 0.227, 0.999)
O (0.496, 0.992, 0.751)
O (0.240, 0.480, 0.722)
O (0.004, 0.008, 0.251)
O (0.392, 0.227, 0.999)
O (0.504, 0.008, 0.249)
O (0.164, 0.773, 0.001)
Ca (0.893, 0.286, 0.250)
Ca (0.107, 0.714, 0.750)
Ca (0.607, 0.714, 0.750)
Ca (0.393, 0.286, 0.250)
Ca (0.000, 0.000, 0.000)
Ca (0.500, 0.000, 0.500)


Record 8
Computed, not measured: a PBEsol-optimized structure of GeSe3S at the meta-GGA SCAN level of DFT.

Computed properties:
Space-group type = Pm-3m
Total moment = 0.000 Bohr magnetons per cell
Crystal system = cubic
ΔE_f (raw) = 2.84 eV/f.u.
Mass density = 5163 kg/m3
Energy = -17.22 eV per atom

abc: 4.789 4.789 4.789
angles: 90.00 90.00 90.00
Atoms (fractional coordinates):
Ge (0.500, 0.500, 0.500)
Se (0.000, 0.000, 0.500)
Se (0.500, 0.000, 0.000)
Se (0.000, 0.500, 0.000)
S (0.000, 0.000, 0.000)